## A
The following is a meta-GGA SCAN calculation of a PBEsol-optimized structure of CaReSb, from the Alexandria database.

Computed properties:
The density of states at the Fermi level is 3.31 states/eV/cell. The symmetry is F-43m (216).

Cell lengths 4.7300, 4.7300, 4.7300 Å; angles 60.00, 60.00, 60.00 degrees
With the nearest neighbours (Å) after each atom.
Sites, in units of the cell vectors:
Re: 0.0000 0.0000 0.0000  4 Ca 2.90
Ca: 0.2500 0.2500 0.2500  4 Re 2.90, 4 Sb 2.90
Sb: 0.5000 0.5000 0.5000  4 Ca 2.90


## B
The following is a meta-GGA SCAN calculation of a PBEsol-optimized structure of CaReSb, from the Alexandria database.

Computed properties:
The density of states at the Fermi level is 0.90 states/eV/cell. The symmetry is I4mm (107).

Cell lengths 3.4227, 3.4227, 5.9588 Å; angles 106.69, 106.69, 90.00 degrees
With the nearest neighbours (Å) after each atom.
Sites, in units of the cell vectors:
Re: 0.6926 0.6926 0.3852  4 Sb 2.69
Ca: 0.0065 0.0065 0.0130  5 Re 3.16-3.42, 5 Sb 3.21-3.30, 4 Ca 3.42
Sb: 0.3009 0.3009 0.6018  4 Re 2.69


## C
The following is a meta-GGA SCAN calculation of a PBEsol-optimized structure of CaReSb, from the Alexandria database.

Computed properties:
The density of states at the Fermi level is 4.04 states/eV/cell. The symmetry is P3m1 (156).

Cell lengths 3.3290, 3.3290, 6.8480 Å; angles 90.00, 90.00, 120.00 degrees
With the nearest neighbours (Å) after each atom.
Sites, in units of the cell vectors:
Re: 0.6667 0.3333 0.6432  3 Sb 2.66
Ca: 0.0000 0.0000 0.9823  3 Re 3.01, 3 Sb 3.30, 6 Ca 3.33
Sb: 0.3333 0.6667 0.3746  3 Re 2.66


B wins, 35.3 kJ/mol of atoms ahead of the next structure.


## A
The following is a meta-GGA SCAN calculation of a PBEsol-optimized structure of CaSc2Re, from the Alexandria database.

Computed properties:
The density of states at the Fermi level is 2.81 states/eV/cell. The symmetry is C2/m (12).

Cell lengths 3.1371, 4.7520, 6.3047 Å; angles 97.52, 90.00, 109.27 degrees
With the nearest neighbours (Å) after each atom.
Sites, in units of the cell vectors:
Sc: 0.7759 0.5519 0.8081  3 Re 2.70-2.90, 2 Sc 2.97, 1 Ca 2.98
Sc: 0.2241 0.4481 0.1919  3 Re 2.70-2.90, 2 Sc 2.97, 1 Ca 2.98
Re: 0.5000 0.0000 0.0000  6 Sc 2.70-2.90
Ca: 0.0000 0.0000 0.5000  6 Sc 2.98-3.32, 2 Ca 3.14


## B
The following is a meta-GGA SCAN calculation of a PBEsol-optimized structure of CaSc2Re, from the Alexandria database.

Computed properties:
The density of states at the Fermi level is 4.03 states/eV/cell. The symmetry is F-43m (216).

Cell lengths 4.8596, 4.8596, 4.8596 Å; angles 60.00, 60.00, 60.00 degrees
With the nearest neighbours (Å) after each atom.
Sites, in units of the cell vectors:
Sc: 0.0000 0.0000 0.0000  4 Re 2.98, 4 Sc 2.98
Sc: 0.2500 0.2500 0.2500  4 Ca 2.98, 4 Sc 2.98
Re: 0.7500 0.7500 0.7500  4 Sc 2.98, 4 Ca 2.98
Ca: 0.5000 0.5000 0.5000  4 Sc 2.98, 4 Re 2.98


## C
The following is a meta-GGA SCAN calculation of a PBEsol-optimized structure of CaSc2Re, from the Alexandria database.

Computed properties:
The density of states at the Fermi level is 4.99 states/eV/cell. The symmetry is Fm-3m (225).

Cell lengths 4.8302, 4.8302, 4.8302 Å; angles 60.00, 60.00, 60.00 degrees
With the nearest neighbours (Å) after each atom.
Sites, in units of the cell vectors:
Sc: 0.7500 0.7500 0.7500  4 Re 2.96, 4 Ca 2.96
Sc: 0.2500 0.2500 0.2500  4 Ca 2.96, 4 Re 2.96
Re: 0.0000 0.0000 0.0000  8 Sc 2.96
Ca: 0.5000 0.5000 0.5000  8 Sc 2.96


C wins, 0.6 kJ/mol of atoms ahead of the next structure.


## A
The following is a meta-GGA SCAN calculation of a PBEsol-optimized structure of CaTaRe2, from the Alexandria database.

Computed properties:
The density of states at the Fermi level is 3.80 states/eV/cell. The symmetry is R-3m (166).

Cell lengths 3.0283, 3.0283, 9.1837 Å; angles 80.51, 80.51, 60.00 degrees
With the nearest neighbours (Å) after each atom.
Sites, in units of the cell vectors:
Re: 0.2404 0.2404 0.2787  3 Ta 2.65
Re: 0.7596 0.7596 0.7213  3 Ta 2.65
Ca: 0.0000 0.0000 0.0000  6 Ca 3.03, 6 Re 3.06
Ta: 0.5000 0.5000 0.5000  6 Re 2.65


## B
The following is a meta-GGA SCAN calculation of a PBEsol-optimized structure of CaTaRe2, from the Alexandria database.

Computed properties:
The density of states at the Fermi level is 2.55 states/eV/cell. The symmetry is Imm2 (44).

Cell lengths 3.0859, 4.7370, 5.5347 Å; angles 115.34, 106.19, 90.00 degrees
With the nearest neighbours (Å) after each atom.
Sites, in units of the cell vectors:
Re: 0.0224 0.0224 0.0449  2 Re 2.60, 4 Ta 2.86
Re: 0.7418 0.2418 0.4836  2 Re 2.60, 2 Ta 2.74, 4 Ca 2.83
Ca: 0.2555 0.7555 0.5109  6 Re 2.83-2.97, 2 Ta 3.04, 2 Ca 3.09
Ta: 0.4803 0.4803 0.9606  6 Re 2.74-2.86, 2 Ca 3.04


## C
The following is a meta-GGA SCAN calculation of a PBEsol-optimized structure of CaTaRe2, from the Alexandria database.

Computed properties:
The density of states at the Fermi level is 3.34 states/eV/cell. The symmetry is Immm (71).

Cell lengths 3.1291, 4.8081, 5.3800 Å; angles 116.54, 106.91, 90.00 degrees
With the nearest neighbours (Å) after each atom.
Sites, in units of the cell vectors:
Re: 0.7354 0.7354 0.4708  2 Ta 2.65, 2 Ca 2.87, 4 Re 2.88
Re: 0.2646 0.2646 0.5292  2 Ta 2.65, 2 Ca 2.87, 4 Re 2.88
Ca: 0.5000 0.0000 0.0000  4 Ta 2.87, 4 Re 2.87, 2 Ca 3.13
Ta: 0.0000 0.5000 0.0000  4 Re 2.65, 4 Ca 2.87


B wins, 9.0 kJ/mol of atoms ahead of the next structure.


## A
The following is a meta-GGA SCAN calculation of a PBEsol-optimized structure of CaTaRe2, from the Alexandria database.

Computed properties:
The density of states at the Fermi level is 3.18 states/eV/cell. The symmetry is C2/m (12).

Cell lengths 2.6863, 5.4039, 5.4039 Å; angles 115.07, 99.80, 99.80 degrees
With the nearest neighbours (Å) after each atom.
Sites, in units of the cell vectors:
Re: 0.0000 0.5000 0.0000  4 Re 2.69-2.90, 2 Ca 2.81, 2 Ta 2.81
Re: 0.0000 0.0000 0.5000  4 Re 2.69-2.90, 2 Ta 2.81, 2 Ca 2.81
Ca: 0.5000 0.5000 0.5000  2 Ca 2.69, 4 Re 2.81, 2 Ta 2.90
Ta: 0.5000 0.0000 0.0000  2 Ta 2.69, 4 Re 2.81, 2 Ca 2.90


## B
The following is a meta-GGA SCAN calculation of a PBEsol-optimized structure of CaTaRe2, from the Alexandria database.

Computed properties:
The density of states at the Fermi level is 4.28 states/eV/cell. The symmetry is R3m (160).

Cell lengths 2.8657, 2.8657, 10.0154 Å; angles 81.77, 81.77, 60.00 degrees
With the nearest neighbours (Å) after each atom.
Sites, in units of the cell vectors:
Re: 0.0091 0.0091 0.9726  9 Re 2.63-2.87
Re: 0.7448 0.7448 0.7656  9 Re 2.63-2.87, 3 Ta 2.89
Ca: 0.2546 0.2546 0.2363  6 Ca 2.87, 3 Re 3.09
Ta: 0.4915 0.4915 0.5255  6 Ta 2.87, 3 Re 2.89


## C
The following is a meta-GGA SCAN calculation of a PBEsol-optimized structure of CaTaRe2, from the Alexandria database.

Computed properties:
The density of states at the Fermi level is 2.55 states/eV/cell. The symmetry is P2/m (10).

Cell lengths 2.7107, 4.4369, 5.9028 Å; angles 90.00, 98.02, 90.00 degrees
With the nearest neighbours (Å) after each atom.
Sites, in units of the cell vectors:
Re: 0.7500 0.0000 0.7839  2 Ta 2.69, 3 Re 2.71-2.72, 2 Ca 2.92
Re: 0.2500 0.0000 0.2161  2 Ta 2.69, 3 Re 2.71-2.72, 2 Ca 2.92
Ca: 0.0000 0.5000 0.5000  2 Ca 2.71, 4 Re 2.92
Ta: 0.5000 0.5000 0.0000  4 Re 2.69, 2 Ta 2.71


C wins, 8.2 kJ/mol of atoms ahead of the next structure.


## A
The following is a meta-GGA SCAN calculation of a PBEsol-optimized structure of CaZr2Re, from the Alexandria database.

Computed properties:
The density of states at the Fermi level is 2.84 states/eV/cell. The symmetry is C2/m (12).

Cell lengths 3.2248, 4.4432, 6.9891 Å; angles 94.54, 90.00, 111.28 degrees
With the nearest neighbours (Å) after each atom.
Sites, in units of the cell vectors:
Re: 0.5000 0.0000 0.0000  6 Zr 2.68-2.73
Ca: 0.0000 0.0000 0.5000  2 Zr 3.03, 2 Ca 3.22
Zr: 0.7710 0.5420 0.8162  3 Re 2.68-2.73
Zr: 0.2290 0.4580 0.1838  3 Re 2.68-2.73


## B
The following is a meta-GGA SCAN calculation of a PBEsol-optimized structure of CaZr2Re, from the Alexandria database.

Computed properties:
The density of states at the Fermi level is 4.15 states/eV/cell. The symmetry is R3m (160).

Cell lengths 3.1986, 3.1986, 9.9914 Å; angles 80.79, 80.79, 60.00 degrees
With the nearest neighbours (Å) after each atom.
Sites, in units of the cell vectors:
Re: 0.2572 0.2572 0.2285  3 Zr 2.67, 3 Ca 2.96
Ca: 0.5120 0.5120 0.4640  3 Re 2.96, 6 Ca 3.20
Zr: 0.9891 0.9891 0.0326  3 Re 2.67
Zr: 0.7417 0.7417 0.7749  9 Zr 3.13-3.20


A wins, 16.5 kJ/mol of atoms ahead of the next structure.


## A
The following is a meta-GGA SCAN calculation of a PBEsol-optimized structure of Ca5Rh, from the Alexandria database.

Computed properties:
The density of states at the Fermi level is 4.97 states/eV/cell. The symmetry is C2/m (12).

Cell lengths 3.6526, 6.6327, 9.0119 Å; angles 69.46, 78.31, 74.02 degrees
With the nearest neighbours (Å) after each atom.
Sites, in units of the cell vectors:
Ca: 0.3812 0.3554 0.8821  2 Rh 2.84
Ca: 0.0000 0.5000 0.5000  12 Ca 3.65-3.94
Ca: 0.6188 0.6446 0.1179  2 Rh 2.84
Ca: 0.6652 0.9421 0.7275  2 Rh 3.13, 2 Ca 3.33-3.37
Ca: 0.3348 0.0579 0.2725  2 Rh 3.13, 2 Ca 3.33-3.37
Rh: 0.0000 0.0000 0.0000  8 Ca 2.84-3.13


## B
The following is a meta-GGA SCAN calculation of a PBEsol-optimized structure of Ca5Rh, from the Alexandria database.

Computed properties:
The density of states at the Fermi level is 4.77 states/eV/cell. The symmetry is P-62m (189).

Cell lengths 5.0127, 6.4774, 6.4774 Å; angles 120.00, 90.00, 90.00 degrees
With the nearest neighbours (Å) after each atom.
Sites, in units of the cell vectors:
Ca: 0.0000 0.2838 0.2838  2 Rh 3.11, 6 Ca 3.18-3.43
Ca: 0.0000 0.7162 0.0000  2 Rh 3.11, 6 Ca 3.18-3.43
Ca: 0.0000 0.0000 0.7162  2 Rh 3.11, 6 Ca 3.18-3.43
Ca: 0.5000 0.3333 0.6667  9 Ca 3.43-3.74, 3 Rh 3.74
Ca: 0.5000 0.6667 0.3333  9 Ca 3.43-3.74, 3 Rh 3.74
Rh: 0.5000 0.0000 0.0000  6 Ca 3.11


## C
The following is a meta-GGA SCAN calculation of a PBEsol-optimized structure of Ca5Rh, from the Alexandria database.

Computed properties:
The density of states at the Fermi level is 14.71 states/eV/cell. The symmetry is Pnma (62).

Cell lengths 6.6420, 7.4927, 15.6725 Å; angles 90.00, 90.00, 90.00 degrees
With the nearest neighbours (Å) after each atom.
Sites, in units of the cell vectors:
Ca: 0.3537 0.3091 0.0642  1 Rh 3.18
Ca: 0.6463 0.6909 0.9358  1 Rh 3.18
Ca: 0.8537 0.1909 0.9358  1 Rh 3.18
Ca: 0.6463 0.6909 0.5642  1 Rh 3.18
Ca: 0.1463 0.8091 0.0642  1 Rh 3.18
Ca: 0.3537 0.3091 0.4358  1 Rh 3.18
Ca: 0.1463 0.8091 0.4358  1 Rh 3.18
Ca: 0.8537 0.1909 0.5642  1 Rh 3.18
Ca: 0.1503 0.0943 0.2500  2 Rh 2.80-2.84
Ca: 0.8497 0.9057 0.7500  2 Rh 2.80-2.84
Ca: 0.6503 0.4057 0.7500  2 Rh 2.80-2.84
Ca: 0.3497 0.5943 0.2500  2 Rh 2.80-2.84
Ca: 0.3253 0.0360 0.6446  2 Rh 2.91-2.96
Ca: 0.6747 0.9640 0.3554  2 Rh 2.91-2.96
Ca: 0.8253 0.4640 0.3554  2 Rh 2.91-2.96
Ca: 0.6747 0.9640 0.1446  2 Rh 2.91-2.96
Ca: 0.1747 0.5360 0.6446  2 Rh 2.91-2.96
Ca: 0.3253 0.0360 0.8554  2 Rh 2.91-2.96
Ca: 0.1747 0.5360 0.8554  2 Rh 2.91-2.96
Ca: 0.8253 0.4640 0.1446  2 Rh 2.91-2.96
Rh: 0.5361 0.2586 0.2500  6 Ca 2.80-2.96
Rh: 0.4639 0.7414 0.7500  6 Ca 2.80-2.96
Rh: 0.0361 0.2414 0.7500  6 Ca 2.80-2.96
Rh: 0.9639 0.7586 0.2500  6 Ca 2.80-2.96


C wins, 10.2 kJ/mol of atoms ahead of the next structure.